# KMg3Pb3

A relaxed KMg3Pb3 crystal (PBE-GGA, the Alexandria database).

a b c (Å): 8.1717 8.1717 8.1717
angles (deg): 90.00 90.00 90.00
Fractional positions:
Pb1 0.7500 0.0000 0.5000
K1 0.5000 0.5000 0.5000
Pb2 0.0000 0.5000 0.7500
Mg1 0.5000 0.0000 0.2500
Pb3 0.0000 0.5000 0.2500
Pb4 0.5000 0.7500 0.0000
K2 0.0000 0.0000 0.0000
Mg2 0.0000 0.2500 0.5000
Mg3 0.7500 0.5000 0.0000
Pb5 0.5000 0.2500 0.0000
Mg4 0.0000 0.7500 0.5000
Mg5 0.2500 0.5000 0.0000
Mg6 0.5000 0.0000 0.7500
Pb6 0.2500 0.0000 0.5000

Properties
final energy: -31.3 eV per cell
space group: Pm-3n, No. 223
ΔE to the lowest computed polymorph: 247 meV/atom
calculated volume: 39.0 Å³ per atom


# V2RuSe5

A relaxed V2RuSe5 crystal (PBE-GGA, the Alexandria database).

a b c (Å): 4.5214 6.7609 6.9361
angles (deg): 83.74 70.98 70.47
Each line ends with the local moment (μB).
Fractional positions:
Se1 0.0000 0.5000 0.5000  0.04
Se2 0.7822 0.2548 0.1808  0.00
V1 0.1925 0.5000 0.1149  0.17
Ru1 0.5000 0.5000 0.5000  0.44
Se3 0.5370 0.7452 0.1808  0.00
V2 0.8075 0.5000 0.8851  0.17
Se4 0.4630 0.2548 0.8192  0.00
Se5 0.2178 0.7452 0.8192  0.00

Properties
final energy: -47.1 eV per cell
space group: Fmmm, No. 69
calculated volume: 23.6 Å³ per atom


# YPb2Au2

A relaxed YPb2Au2 crystal (PBE-GGA, the Alexandria database).

a b c (Å): 8.3477 8.3477 3.6006
angles (deg): 90.00 90.00 90.00
Each line ends with the local moment (μB).
Fractional positions:
Y1 0.5000 0.5000 0.0000  0.21
Au1 0.3376 0.1624 0.5000  0.01
Y2 0.0000 0.0000 0.0000  0.21
Au2 0.6624 0.8376 0.5000  0.01
Pb1 0.6393 0.1393 0.0000  0.01
Pb2 0.8607 0.6393 0.0000  0.01
Pb3 0.3607 0.8607 0.0000  0.01
Au3 0.8376 0.3376 0.5000  0.01
Pb4 0.1393 0.3607 0.0000  0.01
Au4 0.1624 0.6624 0.5000  0.01

Properties
final energy: -42.5 eV per cell
space group: P4/mbm, No. 127
ΔE to the lowest computed polymorph: 170 meV/atom
calculated volume: 25.1 Å³ per atom


# HoTaSi2Os

A relaxed HoTaSi2Os crystal (PBE-GGA, the Alexandria database).

a b c (Å): 4.0044 4.0044 6.1701
angles (deg): 108.94 108.94 90.00
Fractional positions:
Si1 0.6080 0.6080 0.2160
Ta1 0.2500 0.7500 0.5000
Os1 0.7500 0.2500 0.5000
Si2 0.3920 0.3920 0.7840
Ho1 0.0000 0.0000 0.0000

Properties
final energy: -41.5 eV per cell
space group: I-4m2, No. 119
calculated volume: 17.6 Å³ per atom


# BIrSeBr2

A relaxed BIrSeBr2 crystal (PBE-GGA, the Alexandria database).

a b c (Å): 5.2744 5.2744 4.6834
angles (deg): 90.00 90.00 90.00
Fractional positions:
B1 0.5000 0.5000 0.5000
Se1 0.0000 0.0000 0.5000
Br1 0.0000 0.5000 0.0000
Br2 0.5000 0.0000 0.0000
Ir1 0.0000 0.0000 0.0000

Properties
final energy: -16.7 eV per cell
space group: P4/mmm, No. 123
ΔE to the lowest computed polymorph: 0 meV/atom
calculated volume: 26.1 Å³ per atom


# Zr2TlBr8

A relaxed Zr2TlBr8 crystal (PBE-GGA, the Alexandria database).

a b c (Å): 5.4137 9.7593 9.7602
angles (deg): 120.00 90.00 90.00
Each line ends with the local moment (μB).
Fractional positions:
Zr1 0.2500 0.3333 0.6667  0.37
Br1 0.7357 0.8167 0.1814  0.00
Br2 0.2439 0.6666 0.3333  -0.01
Tl1 0.0000 0.0000 0.0000  0.01
Zr2 0.7500 0.6667 0.3333  0.37
Br3 0.2643 0.1814 0.3648  0.00
Br4 0.2644 0.6353 0.8167  0.00
Br5 0.7561 0.3334 0.6667  -0.01
Br6 0.7356 0.3647 0.1833  0.00
Br7 0.2643 0.1833 0.8186  0.00
Br8 0.7357 0.8186 0.6352  0.00

Properties
final energy: -45.4 eV per cell
space group: P-3, No. 147
calculated volume: 40.6 Å³ per atom